Entry from the Open Quantum Materials Database: NdErSO2 after structural relaxation (PBE-GGA).

The total energy is -7.80 eV per atom.

The space group is P3m1 (No. 156) and the conventional cell measures 3.8580, 3.8580 and 6.6595 Å, with angles of 90.00, 90.00 and 120.00 degrees. The distinct sites, in fractional coordinates, are Nd at (0.0000, 0.0000, 0.0000), Er at (0.6667, 0.3333, 0.4378), S at (0.3333, 0.6667, 0.7116), O at (0.0000, 0.0000, 0.3600) and O at (0.6667, 0.3333, 0.1017).